Entry 1:
Computed, not measured: a geometry-optimized ZrMn2SbH structure at the PBE level of DFT.

Lattice parameters (Å, degrees): 4.1100 4.1100 4.2696 90.00 90.00 90.00
Space group P4/mmm (No. 123)
Inequivalent atoms, fractional coordinates:
1 Zr 0.0000 0.0000 0.0000 x1
2 Mn 0.0000 0.5000 0.5000 x2
3 Sb 0.5000 0.5000 0.0000 x1
4 H 0.0000 0.0000 0.5000 x1

Computed properties:
**Size of the total moment**: 5.84 μB/f.u.
**DFT total energy**: -0.2582 hartree per atom

Entry 2:
Computed, not measured: a geometry-optimized MgBeRe2 structure at the PBE level of DFT.

Lattice parameters (Å, degrees): 2.6413 4.2860 5.1041 90.00 100.79 90.00
Space group P2/m (No. 10)
Inequivalent atoms, fractional coordinates:
1 Mg 0.0000 0.0000 0.0000 x1
2 Be 0.5000 0.0000 0.5000 x1
3 Re 0.2761 0.5000 0.7424 x2

Computed properties:
**Size of the total moment**: 0.00 μB/f.u.
**DFT formation energy**: 1.19 eV/f.u.
**DFT total energy**: -0.2667 hartree per atom

Entry 3:
Computed, not measured: a geometry-optimized Tb2Tm6ZrSc3 structure at the PBE level of DFT.

Lattice parameters (Å, degrees): 5.9309 10.2592 11.2685 90.00 100.04 90.00
Space group C2/m (No. 12)
Inequivalent atoms, fractional coordinates:
1 Tb 0.0000 0.1670 0.0000 x4
2 Tm 0.2427 0.5000 0.7467 x4
3 Tm 0.2490 0.3361 0.2542 x8
4 Zr 0.0000 0.5000 0.0000 x2
5 Sc 0.0000 0.0000 0.5000 x2
6 Sc 0.0000 0.3333 0.5000 x4

Computed properties:
**Size of the total moment**: 0.00 μB/f.u.
**DFT formation energy**: 0.74 eV/f.u.
**DFT total energy**: -0.1926 hartree per atom

Entry 4:
Computed, not measured: a geometry-optimized PuGePt structure at the PBE level of DFT.

Lattice parameters (Å, degrees): 4.4288 4.4288 3.6170 90.00 90.00 120.00
Space group P-6m2 (No. 187)
Inequivalent atoms, fractional coordinates:
1 Pu 0.0000 0.0000 0.0000 x1
2 Ge 0.3333 0.6667 0.5000 x1
3 Pt 0.6667 0.3333 0.5000 x1

Computed properties:
**Size of the total moment**: 5.08 μB/f.u.
**DFT formation energy**: -2.27 eV/f.u.
**DFT total energy**: -0.3340 hartree per atom

> The highest DFT total energy belongs to which entry?

Tb2Tm6ZrSc3